Entry 1:
A plane-wave DFT calculation with PBE was carried out for a relaxed structure of AcZnCuPd.

The calculation puts the formation energy at -0.2582 eV/atom. The mass density is 8.8 Mg/m³. The value obtained for the density of states at the Fermi level is 0.515 states/eV per atom. For the calculated volume, the calculation gives 21.8 Å³/atom. The space-group type is No. 216.

Lattice parameters (Å, degrees): 4.9747 4.9747 4.9747 60.00 60.00 60.00
Last column: nearest neighbours and their distance in Å.
Element x y z (fractional)
Ac  0.0000  0.0000  0.0000  4 Pd 3.05, 4 Cu 3.05
Cu  0.2500  0.2500  0.2500  4 Ac 3.05, 4 Zn 3.05
Zn  0.5000  0.5000  0.5000  4 Cu 3.05, 4 Pd 3.05
Pd  0.7500  0.7500  0.7500  4 Ac 3.05, 4 Zn 3.05

=====

Entry 2:
A plane-wave DFT calculation with PBE was carried out for a relaxed structure of AcPm2Cu.

The calculation puts the formation energy at 0.0626 eV/atom. The mass density is 7.5 Mg/m³. The value obtained for the density of states at the Fermi level is 1.551 states/eV per atom. For the calculated volume, the calculation gives 32.3 Å³/atom. The space-group type is No. 166.

Lattice parameters (Å, degrees): 3.8258 3.8258 10.4381 79.44 79.44 60.00
Last column: nearest neighbours and their distance in Å.
Element x y z (fractional)
Ac  0.5000  0.5000  0.5000  6 Ac 3.83, 6 Pm 3.85
Cu  0.0000  0.0000  0.0000  6 Pm 2.95
Pm  0.2695  0.2695  0.1914  3 Cu 2.95
Pm  0.7305  0.7305  0.8086  3 Cu 2.95

=====

Entry 3:
A plane-wave DFT calculation with PBE was carried out for a relaxed structure of AcPm5Cu4.

The calculation puts the formation energy at -0.1178 eV/atom. The mass density is 7.8 Mg/m³. The value obtained for the density of states at the Fermi level is 0.786 states/eV per atom. For the calculated volume, the calculation gives 25.8 Å³/atom. The space-group type is No. 123.

Lattice parameters (Å, degrees): 3.5989 3.5989 19.9327 90.00 90.00 90.00
Last column: nearest neighbours and their distance in Å.
Element x y z (fractional)
Ac  0.0000  0.0000  0.0000  4 Ac 3.60, 8 Pm 3.85
Pm  0.5000  0.5000  0.1449  4 Cu 3.08
Pm  0.5000  0.5000  0.3210  8 Cu 3.10-3.11
Pm  0.5000  0.5000  0.5000  8 Cu 3.11
Pm  0.5000  0.5000  0.6790  8 Cu 3.10-3.11
Pm  0.5000  0.5000  0.8551  4 Cu 3.08
Cu  0.0000  0.0000  0.2322  8 Pm 3.08-3.10
Cu  0.0000  0.0000  0.4103  8 Pm 3.11
Cu  0.0000  0.0000  0.5897  8 Pm 3.11
Cu  0.0000  0.0000  0.7678  8 Pm 3.08-3.10